[1]
The following is a PBE calculation of a relaxed structure of HoCuNiHg, from Alexandria.

Unit cell a=6.5487 b=6.5487 c=6.5487 alpha=90.00 beta=90.00 gamma=90.00
Closest atoms and distances in Å follow each position.
Space group F-43m (No. 216)
Symmetry-distinct sites (fractional):
Ho 0.0000 0.0000 0.0000 x4  4 Cu 2.84, 4 Ni 2.84
Cu 0.2500 0.2500 0.2500 x4  4 Hg 2.84, 4 Ho 2.84
Ni 0.2500 0.2500 0.7500 x4  4 Ho 2.84, 4 Hg 2.84
Hg 0.0000 0.0000 0.5000 x4  4 Ni 2.84, 4 Cu 2.84

Results
Final energy (eV/atom): -3.90
Calculated formation energy (kJ/mol of atoms): -20.0
Volume (Å³/atom): 17.553

[2]
The following is a PBE calculation of a relaxed structure of PmEr8Sc2, from Alexandria.

Unit cell a=17.7196 b=4.9121 c=7.7847 alpha=90.00 beta=105.42 gamma=90.00
Closest atoms and distances in Å follow each position.
Space group C2/m (No. 12)
Symmetry-distinct sites (fractional):
Pm 0.0000 0.0000 0.0000 x2  12 Er 3.49-3.52
Er 0.0476 0.5000 0.7264 x4  9 Er 3.46-3.55, 1 Sc 3.46, 2 Pm 3.50
Er 0.0944 0.0000 0.4589 x4  3 Sc 3.41-3.44, 8 Er 3.45-3.57, 1 Pm 3.52
Er 0.1398 0.5000 0.1910 x4  3 Sc 3.39-3.41, 7 Er 3.43-3.55, 2 Pm 3.52
Er 0.1832 0.0000 0.9112 x4  8 Er 3.43-3.50, 3 Sc 3.47-3.50, 1 Pm 3.49
Sc 0.2283 0.5000 0.6346 x4  10 Er 3.39-3.50, 2 Sc 3.45

Results
Final energy (eV/atom): -4.86
Calculated formation energy (kJ/mol of atoms): 4.0
Volume (Å³/atom): 29.691

[3]
The following is a PBE calculation of a relaxed structure of ReAsN2F, from Alexandria.

Unit cell a=3.9701 b=3.9701 c=3.8122 alpha=90.00 beta=90.00 gamma=90.00
Closest atoms and distances in Å follow each position.
Space group P4/mmm (No. 123)
Symmetry-distinct sites (fractional):
Re 0.0000 0.0000 0.0000 x1  8 N 2.75, 4 F 2.81
As 0.5000 0.5000 0.5000 x1  2 F 1.91, 4 N 1.99
N 0.0000 0.5000 0.5000 x2  2 As 1.99
F 0.5000 0.5000 0.0000 x1  2 As 1.91

Results
Final energy (eV/atom): -5.77
E_form (uncorrected) (eV per atom): 1.353
Volume (Å³/atom): 12.018

[4]
The following is a PBE calculation of a relaxed structure of Ac2La3PuSe6, from Alexandria.

Unit cell a=18.9375 b=4.3326 c=8.7156 alpha=90.00 beta=103.40 gamma=90.00
Closest atoms and distances in Å follow each position.
Space group C2/m (No. 12)
Symmetry-distinct sites (fractional):
Ac 0.1644 0.0000 0.3303 x4  6 Se 3.10-3.14
La 0.0000 0.5000 0.5000 x2  6 Se 3.04-3.12
La 0.1682 0.0000 0.8362 x4  6 Se 3.02-3.11
Pu 0.0000 0.5000 0.0000 x2  6 Se 3.00-3.03
Se 0.0038 0.0000 0.7596 x4  2 Pu 3.03, 3 La 3.03-3.12, 1 Ac 3.10
Se 0.1630 0.5000 0.0750 x4  1 Pu 3.00, 3 La 3.02-3.11, 2 Ac 3.10
Se 0.1651 0.5000 0.5892 x4  3 La 3.04-3.05, 3 Ac 3.13-3.14

Results
Final energy (eV/atom): -6.72
E_form (uncorrected) (eV per atom): -1.871
Volume (Å³/atom): 28.985

[5]
The following is a PBE calculation of a relaxed structure of Na2CePtO4, from Alexandria.

Unit cell a=5.9062 b=5.9062 c=6.4604 alpha=90.00 beta=90.00 gamma=90.00
Closest atoms and distances in Å follow each position.
Space group I-4 (No. 82)
Symmetry-distinct sites (fractional):
Na 0.0000 0.0000 0.0000 x2  4 O 2.37
Na 0.0000 0.5000 0.2500 x2  4 O 2.26
Ce 0.0000 0.0000 0.5000 x2  4 O 2.22
Pt 0.0000 0.5000 0.7500 x2  4 O 2.03
O 0.1804 0.7917 0.7341 x8  1 Pt 2.03, 1 Ce 2.22, 1 Na 2.26

Results
Final energy (eV/atom): -6.19
E_form (uncorrected) (eV per atom): -1.887
Volume (Å³/atom): 14.085

[6]
The following is a PBE calculation of a relaxed structure of ScCoRe4, from Alexandria.

Unit cell a=7.3481 b=7.3481 c=7.3481 alpha=90.00 beta=90.00 gamma=90.00
Closest atoms and distances in Å follow each position.
Space group F-43m (No. 216)
Symmetry-distinct sites (fractional):
Sc 0.0000 0.0000 0.0000 x4  12 Re 3.05, 4 Co 3.18
Co 0.2500 0.2500 0.2500 x4  12 Re 3.05, 4 Sc 3.18
Re 0.1248 0.1248 0.6248 x16  6 Re 2.59-2.60

Results
Final energy (eV/atom): -10.32
Calculated formation energy (kJ/mol of atoms): 21.2
Volume (Å³/atom): 16.531

[7]
The following is a PBE calculation of a relaxed structure of MgZnSe2, from Alexandria.

Unit cell a=3.8491 b=14.9326 c=7.2103 alpha=90.00 beta=90.00 gamma=90.00
Closest atoms and distances in Å follow each position.
Space group Cmcm (No. 63)
Symmetry-distinct sites (fractional):
Mg 0.0000 0.0597 0.2500 x4  4 Se 2.54-2.77
Zn 0.0000 0.2931 0.2500 x4  3 Se 2.33-2.44
Se 0.0000 0.3072 0.7500 x4  2 Zn 2.44
Se 0.0000 0.4490 0.2500 x4  1 Zn 2.33, 2 Mg 2.54

Results
Final energy (eV/atom): -3.09
E_form (uncorrected) (eV per atom): -0.635
Volume (Å³/atom): 25.902

[8]
The following is a PBE calculation of a relaxed structure of HoZrSb, from Alexandria.

Unit cell a=4.2686 b=4.2686 c=16.5727 alpha=90.00 beta=90.00 gamma=90.00
Closest atoms and distances in Å follow each position.
Space group I4/mmm (No. 139)
Symmetry-distinct sites (fractional):
Ho 0.0000 0.0000 0.1763 x4  5 Sb 3.10-3.14
Zr 0.0000 0.5000 0.0000 x4  4 Zr 3.02, 4 Sb 3.08
Sb 0.0000 0.0000 0.3658 x4  4 Zr 3.08, 5 Ho 3.10-3.14

Results
Final energy (eV/atom): -6.54
E_form (uncorrected) (eV per atom): -0.792
Volume (Å³/atom): 25.165

[9]
The following is a PBE calculation of a relaxed structure of V2ZnRu, from Alexandria.

Unit cell a=3.7430 b=3.7430 c=3.8618 alpha=90.00 beta=90.00 gamma=90.00
Closest atoms and distances in Å follow each position.
Space group P4/mmm (No. 123)
Symmetry-distinct sites (fractional):
V 0.0000 0.5000 0.0000 x2  4 V 2.65, 4 Ru 2.69, 4 Zn 2.69
Zn 0.0000 0.0000 0.5000 x1  4 Ru 2.65, 8 V 2.69
Ru 0.5000 0.5000 0.5000 x1  4 Zn 2.65, 8 V 2.69

Results
Final energy (eV/atom): -7.29
Calculated formation energy (kJ/mol of atoms): -9.2
Volume (Å³/atom): 13.526

[10]
The following is a PBE calculation of a relaxed structure of Rb2BaMnCl6, from Alexandria.

Unit cell a=10.7077 b=10.7077 c=10.7077 alpha=90.00 beta=90.00 gamma=90.00
Closest atoms and distances in Å follow each position.
Space group Fm-3m (No. 225)
Symmetry-distinct sites (fractional):
Rb 0.2500 0.2500 0.2500 x8  12 Cl 3.80
Ba 0.0000 0.0000 0.0000 x4  6 Cl 2.99
Mn 0.0000 0.0000 0.5000 x4  6 Cl 2.37
Cl 0.0000 0.0000 0.2789 x24  1 Mn 2.37

Results
Final energy (eV/atom): -3.99
E_form (uncorrected) (eV per atom): -1.584
Volume (Å³/atom): 30.692

[11]
The following is a PBE calculation of a relaxed structure of PuScSn2, from Alexandria.

Unit cell a=3.2918 b=4.3680 c=6.7923 alpha=90.00 beta=90.00 gamma=90.00
Closest atoms and distances in Å follow each position.
Space group Pmmm (No. 47)
Symmetry-distinct sites (fractional):
Pu 0.0000 0.0000 0.0000 x1  2 Pu 3.29, 8 Sn 3.30, 2 Sc 3.40
Sc 0.0000 0.0000 0.5000 x1  8 Sn 3.15, 2 Sc 3.29, 2 Pu 3.40
Sn 0.5000 0.5000 0.2713 x2  3 Sn 3.11-3.29, 4 Sc 3.15, 4 Pu 3.30

Results
Final energy (eV/atom): -7.66
Calculated formation energy (kJ/mol of atoms): -47.4
Volume (Å³/atom): 24.416

[12]
The following is a PBE calculation of a relaxed structure of Ba3Hg4Bi2, from Alexandria.

Unit cell a=13.3404 b=5.0594 c=10.1789 alpha=90.00 beta=108.79 gamma=90.00
Closest atoms and distances in Å follow each position.
Space group C2/m (No. 12)
Symmetry-distinct sites (fractional):
Ba 0.0000 0.0000 0.0000 x2  4 Hg 3.50-3.57, 4 Bi 3.69
Ba 0.1750 0.5000 0.6477 x4  4 Hg 3.48-3.61, 3 Bi 3.66-3.68
Hg 0.0047 0.0000 0.3532 x4  1 Hg 3.03, 2 Bi 3.16
Hg 0.2341 0.0000 0.9143 x4  2 Hg 3.02, 1 Bi 3.18
Bi 0.1137 0.5000 0.2703 x4  3 Hg 3.16-3.18

Results
Final energy (eV/atom): -2.27
Calculated formation energy (kJ/mol of atoms): -60.6
Volume (Å³/atom): 36.134

Number 1: spin magnetization 0.00 μB/f.u.. Number 2: spin magnetization 0.00 μB/f.u.. Number 3: spin magnetization 3.61 μB/f.u.. Number 4: spin magnetization 6.00 μB/f.u.. Number 5: spin magnetization 0.00 μB/f.u.. Number 6: spin magnetization 2.08 μB/f.u.. Number 7: spin magnetization 0.00 μB/f.u.. Number 8: spin magnetization 0.00 μB/f.u.. Number 9: spin magnetization 0.00 μB/f.u.. Number 10: spin magnetization 1.00 μB/f.u.. Number 11: spin magnetization 6.29 μB/f.u.. Number 12: spin magnetization 0.00 μB/f.u..